VASP calculation (PBE) on a relaxed V3CrGa crystal.

Calculated values
**Final energy**: -0.56794 Ry/atom
**Formation energy**: 274 meV per atom
**DOS(E_F)**: 22.73 states/eV per cell
**Energy relative to the lowest polymorph listed for this composition**: 1.51 eV/f.u.

abc: 7.5494 7.5494 5.2437
angles: 90.13 90.13 75.30
Positions (direct):
V1 0.0280 0.1622 0.3543
V2 0.0285 0.4731 0.7323
V3 0.1622 0.0280 0.8543
V4 0.3372 0.4709 0.3532
V5 0.4709 0.3372 0.8532
V6 0.4731 0.0285 0.2323
V7 0.5269 0.9715 0.7677
V8 0.5291 0.6628 0.1468
V9 0.6628 0.5291 0.6468
V10 0.8378 0.9720 0.1457
V11 0.9715 0.5269 0.2677
V12 0.9720 0.8378 0.6457
Cr1 0.2344 0.2649 0.0709
Cr2 0.2649 0.2344 0.5709
Cr3 0.7351 0.7656 0.4291
Cr4 0.7656 0.7351 0.9291
Ga1 0.1854 0.8146 0.2500
Ga2 0.3154 0.6846 0.7500
Ga3 0.6846 0.3154 0.2500
Ga4 0.8146 0.1854 0.7500

***

VASP calculation (PBE) on a relaxed Y3PtSe crystal.

Calculated values
**Final energy**: -0.47113 Ry/atom
**DOS(E_F)**: 5.29 states/eV per cell
**Energy relative to the lowest polymorph listed for this composition**: 0.00 eV/f.u.
**Formation energy without anion corrections**: -0.626 eV/atom

abc: 5.4135 5.4135 5.4135
angles: 90.00 90.00 90.00
Positions (direct):
Y1 0.0000 0.0000 0.5000
Y2 0.0000 0.5000 0.0000
Y3 0.5000 0.0000 0.0000
Pt1 0.0000 0.0000 0.0000
Se1 0.5000 0.5000 0.5000

***

VASP calculation (PBE) on a relaxed CeSi2NiPd crystal.

Calculated values
**Final energy**: -0.46887 Ry/atom
**DOS(E_F)**: 5.33 states/eV per cell
**Formation energy without anion corrections**: -0.828 eV/atom

abc: 5.7183 5.7183 5.7183
angles: 137.83 137.83 61.17
Positions (direct):
Ce1 0.0000 0.0000 0.0000
Si1 0.3793 0.3793 0.0000
Si2 0.6207 0.6207 0.0000
Ni1 0.2500 0.7500 0.5000
Pd1 0.7500 0.2500 0.5000

***

VASP calculation (PBE) on a relaxed Nd6Cu2Ir crystal.

Calculated values
**Final energy**: -0.38668 Ry/atom
**Formation energy**: -188 meV per atom
**DOS(E_F)**: 19.68 states/eV per cell

abc: 6.7661 7.4758 12.2985
angles: 90.00 121.25 90.00
Positions (direct):
Nd1 0.0925 0.1869 0.4295
Nd2 0.0925 0.3131 0.9295
Nd3 0.2506 0.6767 0.4259
Nd4 0.2506 0.8233 0.9259
Nd5 0.3979 0.0408 0.2458
Nd6 0.3979 0.4592 0.7458
Nd7 0.6021 0.5408 0.2542
Nd8 0.6021 0.9592 0.7542
Nd9 0.7494 0.1767 0.0741
Nd10 0.7494 0.3233 0.5741
Nd11 0.9075 0.6869 0.0705
Nd12 0.9075 0.8131 0.5705
Cu1 0.1777 0.1111 0.7373
Cu2 0.1777 0.3889 0.2373
Cu3 0.8223 0.6111 0.7627
Cu4 0.8223 0.8889 0.2627
Ir1 0.5000 0.0000 0.5000
Ir2 0.5000 0.5000 0.0000

***

VASP calculation (PBE) on a relaxed BeTcMo2 crystal.

Calculated values
**Final energy**: -0.65004 Ry/atom
**Formation energy**: 94 meV per atom
**DOS(E_F)**: 3.63 states/eV per cell

abc: 4.9912 4.9912 4.2818
angles: 115.29 115.29 36.42
Positions (direct):
Be1 0.0000 0.0000 0.0000
Tc1 0.2523 0.2523 0.7522
Mo1 0.5070 0.5070 0.5066
Mo2 0.7604 0.7604 0.2598

***

VASP calculation (PBE) on a relaxed K2ZnTeSe crystal.

Calculated values
**Final energy**: -0.17887 Ry/atom
**DOS(E_F)**: 2.51 states/eV per cell
**Energy relative to the lowest polymorph listed for this composition**: 2.49 eV/f.u.
**Formation energy without anion corrections**: -0.415 eV/atom

abc: 6.6589 6.6589 4.5809
angles: 90.00 90.00 90.00
Positions (direct):
K1 0.0000 0.5000 0.0000
K2 0.5000 0.0000 0.0000
Zn1 0.0000 0.0000 0.0000
Te1 0.5000 0.5000 0.5000
Se1 0.0000 0.0000 0.5000

***

VASP calculation (PBE) on a relaxed ScTcCl3 crystal.

Calculated values
**Final energy**: -0.35285 Ry/atom
**DOS(E_F)**: 6.22 states/eV per cell
**Energy relative to the lowest polymorph listed for this composition**: 0.00 eV/f.u.
**Formation energy without anion corrections**: -0.353 eV/atom

abc: 5.0731 5.0731 5.0731
angles: 90.00 90.00 90.00
Positions (direct):
Sc1 0.0000 0.0000 0.0000
Tc1 0.5000 0.5000 0.5000
Cl1 0.0000 0.0000 0.5000
Cl2 0.0000 0.5000 0.0000
Cl3 0.5000 0.0000 0.0000

***

VASP calculation (PBE) on a relaxed LiAs2HBr crystal.

Calculated values
**Final energy**: -0.17939 Ry/atom
**DOS(E_F)**: 2.73 states/eV per cell
**Energy relative to the lowest polymorph listed for this composition**: 4.27 eV/f.u.

abc: 4.5982 4.5982 5.1034
angles: 90.00 90.00 90.00
Positions (direct):
Li1 0.0000 0.0000 0.0000
As1 0.0000 0.5000 0.0000
As2 0.5000 0.0000 0.0000
H1 0.5000 0.5000 0.5000
Br1 0.0000 0.0000 0.5000

***

Repeat the fifth record exactly.
VASP calculation (PBE) on a relaxed BeTcMo2 crystal.

Calculated values
**Final energy**: -0.65004 Ry/atom
**Formation energy**: 94 meV per atom
**DOS(E_F)**: 3.63 states/eV per cell

abc: 4.9912 4.9912 4.2818
angles: 115.29 115.29 36.42
Positions (direct):
Be1 0.0000 0.0000 0.0000
Tc1 0.2523 0.2523 0.7522
Mo1 0.5070 0.5070 0.5066
Mo2 0.7604 0.7604 0.2598